No. 1
# K2AlRe (PBE, optimized geometry)
# Calculated total energy ... -13.7 eV/cell
# Total magnetic moment ... 0.0 Bohr magnetons per cell
# DFT formation energy ... 1.161 eV per atom
# ρ ... 5.28 g/cm3
data_K2AlRe
_chemical_formula_sum 'K2 Al1 Re1'
_cell_length_a 2.826
_cell_length_b 5.520
_cell_length_c 5.877
_cell_angle_alpha 90.00
_cell_angle_beta 90.00
_cell_angle_gamma 90.00
_symmetry_space_group_name_H-M 'P m m m'
_symmetry_Int_Tables_number 47
_symmetry_space_group_name_Hall '-P 2 2'
loop_
_atom_site_label
_atom_site_type_symbol
_atom_site_fract_x
_atom_site_fract_y
_atom_site_fract_z
K1 K 0.000 0.247 0.000
Al1 Al 0.500 0.500 0.500
Re1 Re 0.500 0.000 0.500

No. 2
# La2TmPuBi4 (PBE, optimized geometry)
# Calculated total energy ... -50.5 eV/cell
# Total magnetic moment ... 5.1 Bohr magnetons per cell
# DFT formation energy ... -0.789 eV per atom
# ρ ... 9.21 g/cm3
data_La2TmPuBi4
_chemical_formula_sum 'La2 Tm1 Pu1 Bi4'
_cell_length_a 7.942
_cell_length_b 4.612
_cell_length_c 7.970
_cell_angle_alpha 90.00
_cell_angle_beta 109.53
_cell_angle_gamma 90.00
_symmetry_space_group_name_H-M 'P 1 2/m 1'
_symmetry_Int_Tables_number 10
_symmetry_space_group_name_Hall '-P 2y'
loop_
_atom_site_label
_atom_site_type_symbol
_atom_site_fract_x
_atom_site_fract_y
_atom_site_fract_z
La1 La 0.000 0.000 0.000
La2 La 0.000 0.500 0.500
Tm1 Tm 0.500 0.000 0.500
Pu1 Pu 0.500 0.500 0.000
Bi1 Bi 0.263 0.000 0.752
Bi2 Bi 0.264 0.500 0.257

No. 3
# BeTl2InPb (PBE, optimized geometry)
# Calculated total energy ... -12.0 eV/cell
# Total magnetic moment ... 0.0 Bohr magnetons per cell
# DFT formation energy ... 0.587 eV per atom
# ρ ... 7.72 g/cm3
data_BeTl2InPb
_chemical_formula_sum 'Be1 Tl2 In1 Pb1'
_cell_length_a 5.903
_cell_length_b 5.903
_cell_length_c 4.567
_cell_angle_alpha 90.00
_cell_angle_beta 90.00
_cell_angle_gamma 90.00
_symmetry_space_group_name_H-M 'P 4/m m m'
_symmetry_Int_Tables_number 123
_symmetry_space_group_name_Hall '-P 4 2'
loop_
_atom_site_label
_atom_site_type_symbol
_atom_site_fract_x
_atom_site_fract_y
_atom_site_fract_z
Be1 Be 0.000 0.000 0.000
Tl1 Tl 0.000 0.500 0.500
In1 In 0.000 0.000 0.500
Pb1 Pb 0.500 0.500 0.000

No. 4
# NdHo2Sc2 (PBE, optimized geometry)
# Calculated total energy ... -191.1 eV/cell
# Distance to the lowest polymorph of the same formula ... 0.4126 eV/atom
# Total magnetic moment ... 0.0 Bohr magnetons per cell
# DFT formation energy ... 0.540 eV per atom
# ρ ... 5.61 g/cm3
data_NdHo2Sc2
_chemical_formula_sum 'Nd8 Ho16 Sc16'
_cell_length_a 5.646
_cell_length_b 11.074
_cell_length_c 21.350
_cell_angle_alpha 90.00
_cell_angle_beta 90.00
_cell_angle_gamma 90.00
_symmetry_space_group_name_H-M 'F d d d'
_symmetry_Int_Tables_number 70
loop_
_symmetry_equiv_pos_as_xyz
'x,y,z'
'-x,-y,-z'
'-x+1/4,-y+1/4,z'
'x+1/4,y+1/4,-z'
'x,-y+1/4,-z+1/4'
'-x,y+1/4,z+1/4'
'-x+1/4,y,-z+1/4'
'x+1/4,-y,z+1/4'
'x,y+1/2,z+1/2'
'-x,-y+1/2,-z+1/2'
'-x+1/4,-y+3/4,z+1/2'
'x+1/4,y+3/4,-z+1/2'
'x,-y+3/4,-z+3/4'
'-x,y+3/4,z+3/4'
'-x+1/4,y+1/2,-z+3/4'
'x+1/4,-y+1/2,z+3/4'
'x+1/2,y,z+1/2'
'-x+1/2,-y,-z+1/2'
'-x+3/4,-y+1/4,z+1/2'
'x+3/4,y+1/4,-z+1/2'
'x+1/2,-y+1/4,-z+3/4'
'-x+1/2,y+1/4,z+3/4'
'-x+3/4,y,-z+3/4'
'x+3/4,-y,z+3/4'
'x+1/2,y+1/2,z'
'-x+1/2,-y+1/2,-z'
'-x+3/4,-y+3/4,z'
'x+3/4,y+3/4,-z'
'x+1/2,-y+3/4,-z+1/4'
'-x+1/2,y+3/4,z+1/4'
'-x+3/4,y+1/2,-z+1/4'
'x+3/4,-y+1/2,z+1/4'
loop_
_atom_site_label
_atom_site_type_symbol
_atom_site_fract_x
_atom_site_fract_y
_atom_site_fract_z
Nd1 Nd 0.125 0.125 0.125
Ho1 Ho 0.125 0.292 0.625
Sc1 Sc 0.000 0.000 0.000

No. 5
# PrHoZn4 (PBE, optimized geometry)
# Calculated total energy ... -14.4 eV/cell
# Distance to the lowest polymorph of the same formula ... 0.3585 eV/atom
# Total magnetic moment ... 0.0 Bohr magnetons per cell
# DFT formation energy ... 0.011 eV per atom
# ρ ... 6.60 g/cm3
data_PrHoZn4
_chemical_formula_sum 'Pr1 Ho1 Zn4'
_cell_length_a 3.791
_cell_length_b 3.795
_cell_length_c 9.928
_cell_angle_alpha 89.71
_cell_angle_beta 89.42
_cell_angle_gamma 89.93
_symmetry_space_group_name_H-M 'P -1'
_symmetry_Int_Tables_number 2
_symmetry_space_group_name_Hall '-P 1'
loop_
_atom_site_label
_atom_site_type_symbol
_atom_site_fract_x
_atom_site_fract_y
_atom_site_fract_z
Pr1 Pr 0.000 0.000 0.000
Ho1 Ho 0.500 0.500 0.500
Zn1 Zn 0.002 0.499 0.258
Zn2 Zn 0.499 0.001 0.259

No. 6
# Rb3AsSe4 (PBE, optimized geometry)
# Calculated total energy ... -55.8 eV/cell
# Distance to the lowest polymorph of the same formula ... 0.0308 eV/atom
# Total magnetic moment ... 0.0 Bohr magnetons per cell
# Formation energy without anion corrections ... -799 meV/atom
# ρ ... 3.64 g/cm3
data_Rb3AsSe4
_chemical_formula_sum 'Rb6 As2 Se8'
_cell_length_a 8.386
_cell_length_b 8.386
_cell_length_c 8.386
_cell_angle_alpha 90.00
_cell_angle_beta 90.00
_cell_angle_gamma 90.00
_symmetry_space_group_name_H-M 'I -4 3 m'
_symmetry_Int_Tables_number 217
_symmetry_space_group_name_Hall 'I -4 2 3'
loop_
_atom_site_label
_atom_site_type_symbol
_atom_site_fract_x
_atom_site_fract_y
_atom_site_fract_z
Rb1 Rb 0.000 0.000 0.500
As1 As 0.000 0.000 0.000
Se1 Se 0.163 0.163 0.837

No. 7
# La2Ce3PrSe6 (PBE, optimized geometry)
# Calculated total energy ... -151.9 eV/cell
# Total magnetic moment ... 6.4 Bohr magnetons per cell
# Formation energy without anion corrections ... -1885 meV/atom
# ρ ... 6.67 g/cm3
data_La2Ce3PrSe6
_chemical_formula_sum 'La4 Ce6 Pr2 Se12'
_cell_length_a 18.574
_cell_length_b 4.240
_cell_length_c 8.539
_cell_angle_alpha 90.00
_cell_angle_beta 103.66
_cell_angle_gamma 90.00
_symmetry_space_group_name_H-M 'C 1 2/m 1'
_symmetry_Int_Tables_number 12
_symmetry_space_group_name_Hall '-C 2y'
loop_
_atom_site_label
_atom_site_type_symbol
_atom_site_fract_x
_atom_site_fract_y
_atom_site_fract_z
La1 La 0.166 0.000 0.333
Ce1 Ce 0.000 0.500 0.500
Ce2 Ce 0.167 0.000 0.834
Pr1 Pr 0.000 0.500 0.000
Se1 Se 0.002 0.000 0.748
Se2 Se 0.165 0.500 0.587
Se3 Se 0.167 0.500 0.079

No. 8
# AcZn12Au4 (PBE, optimized geometry)
# Calculated total energy ... -66.1 eV/cell
# Total magnetic moment ... 0.0 Bohr magnetons per cell
# DFT formation energy ... -0.031 eV per atom
# ρ ... 8.37 g/cm3
data_AcZn12Au4
_chemical_formula_sum 'Ac2 Zn24 Au8'
_cell_length_a 8.939
_cell_length_b 8.939
_cell_length_c 8.939
_cell_angle_alpha 90.00
_cell_angle_beta 90.00
_cell_angle_gamma 90.00
_symmetry_space_group_name_H-M 'I m -3'
_symmetry_Int_Tables_number 204
_symmetry_space_group_name_Hall '-I 2 2 3'
loop_
_atom_site_label
_atom_site_type_symbol
_atom_site_fract_x
_atom_site_fract_y
_atom_site_fract_z
Ac1 Ac 0.000 0.000 0.000
Zn1 Zn 0.000 0.150 0.358
Au1 Au 0.250 0.250 0.250